1.
Computed, not measured: a relaxed structure of BaFeSi2 at the GGA-PBEsol level of DFT.

magnetization = 0.0 Bohr magnetons per cell
E_form (uncorrected) = -0.38 eV per atom

Unit cell a=3.9246 b=3.9246 c=17.8590 alpha=90.00 beta=90.00 gamma=120.00
With the nearest neighbours (Å) after each atom.
Space group R-3m (No. 166, hexagonal axes)
One atom of each set of equivalent atoms:
Ba (0.0000, 0.0000, 0.0000) (multiplicity 3)  8 Si 3.33-3.51
Fe (0.0000, 0.0000, 0.5000) (multiplicity 3)  6 Si 2.33
Si (0.0000, 0.0000, 0.1966) (multiplicity 6)  3 Fe 2.33, 3 Si 2.51

2.
Computed, not measured: a relaxed structure of OsRhW2 at the GGA-PBEsol level of DFT.

magnetization = 0.0 Bohr magnetons per cell
calculated formation energy = -0.3 eV per formula unit

Unit cell a=3.9151 b=3.9151 c=7.6395 alpha=90.00 beta=90.00 gamma=90.00
With the nearest neighbours (Å) after each atom.
Space group I4/mmm (No. 139)
One atom of each set of equivalent atoms:
Os (0.0000, 0.0000, 0.0000) (multiplicity 2)  8 W 2.73, 4 Rh 2.77
Rh (0.0000, 0.0000, 0.5000) (multiplicity 2)  8 W 2.73, 4 Os 2.77
W (0.0000, 0.5000, 0.2500) (multiplicity 4)  4 Os 2.73, 4 Rh 2.73, 4 W 2.77

3.
Computed, not measured: a relaxed structure of CaZnBr2 at the GGA-PBEsol level of DFT.

magnetization = 0.0 Bohr magnetons per cell
E_form (uncorrected) = -1.07 eV per atom

Unit cell a=3.5934 b=3.5936 c=8.6854 alpha=90.00 beta=90.12 gamma=90.00
With the nearest neighbours (Å) after each atom.
Space group P2/m (No. 10)
One atom of each set of equivalent atoms:
Ca (0.0000, 0.0000, 0.0000) (multiplicity 1)  8 Br 3.04
Zn (0.0000, 0.0000, 0.5000) (multiplicity 1)  4 Zn 3.59, 8 Br 3.68-3.70
Br (0.4982, 0.5000, 0.8081) (multiplicity 2)  4 Ca 3.04, 1 Br 3.33

4.
Computed, not measured: a relaxed structure of SrPrMn2O6 at the GGA-PBEsol level of DFT.

magnetization = 14.0 Bohr magnetons per cell
E_form (uncorrected) = -2.48 eV per atom

Unit cell a=7.6081 b=5.3895 c=5.4431 alpha=90.00 beta=90.00 gamma=90.00
With the nearest neighbours (Å) after each atom.
Space group Pmn2_1 (No. 31)
One atom of each set of equivalent atoms:
Sr (0.0000, 0.2432, 0.0000) (multiplicity 2)  9 O 2.48-2.77
Pr (0.0000, 0.7362, 0.5068) (multiplicity 2)  6 O 2.41-2.61
Mn (0.2501, 0.2486, 0.5009) (multiplicity 4)  6 O 1.92-1.94
O (0.0000, 0.2554, 0.4556) (multiplicity 2)  2 Mn 1.92
O (0.0000, 0.7512, 0.0636) (multiplicity 2)  2 Mn 1.93
O (0.2200, 0.9838, 0.7342) (multiplicity 4)  2 Mn 1.92-1.93
O (0.2224, 0.4957, 0.7542) (multiplicity 4)  2 Mn 1.93-1.94

5.
Computed, not measured: a relaxed structure of SrZr2As at the GGA-PBEsol level of DFT.

magnetization = 0.0 Bohr magnetons per cell
calculated formation energy = -0.8 eV per formula unit

Unit cell a=9.4917 b=3.5856 c=6.8402 alpha=90.00 beta=110.72 gamma=90.00
With the nearest neighbours (Å) after each atom.
Space group Cm (No. 8)
One atom of each set of equivalent atoms:
Sr (0.0000, 0.0000, 0.0000) (multiplicity 2)  2 As 3.07, 1 Zr 3.37
Zr (0.1794, 0.0000, 0.6538) (multiplicity 2)  2 As 2.68
Zr (0.4094, 0.0000, 0.4252) (multiplicity 2)  3 As 2.71-2.78
As (0.1844, 0.5000, 0.3647) (multiplicity 2)  5 Zr 2.68-2.78

6.
Computed, not measured: a relaxed structure of KMg2P2O8 at the GGA-PBEsol level of DFT.

magnetization = 4.6 Bohr magnetons per cell
E_form (uncorrected) = -2.35 eV per atom

Unit cell a=18.1045 b=5.6172 c=9.3772 alpha=90.00 beta=117.54 gamma=90.00
With the nearest neighbours (Å) after each atom.
Space group C2/c (No. 15)
One atom of each set of equivalent atoms:
K (0.0000, 0.1624, 0.2500) (multiplicity 4)  6 O 2.78-2.88
Mg (0.1484, 0.3140, 0.7430) (multiplicity 8)  4 O 1.91-1.95
P (0.1375, 0.1859, 0.0696) (multiplicity 8)  4 O 1.53-1.55
O (0.1023, 0.2447, 0.8892) (multiplicity 8)  1 P 1.54
O (0.1039, 0.0600, 0.5850) (multiplicity 8)  1 P 1.54
O (0.1062, 0.3754, 0.1486) (multiplicity 8)  1 P 1.55
O (0.2326, 0.1860, 0.1508) (multiplicity 8)  1 P 1.53

7.
Computed, not measured: a relaxed structure of K5HC2N4 at the GGA-PBEsol level of DFT.

electronic total energy = -5.67 eV per atom
magnetization = 0.0 Bohr magnetons per cell

Unit cell a=8.9774 b=8.9774 c=11.0020 alpha=90.00 beta=90.00 gamma=90.00
With the nearest neighbours (Å) after each atom.
Space group P4/ncc (No. 130, origin choice 2)
One atom of each set of equivalent atoms:
K (0.0447, 0.6462, 0.1005) (multiplicity 16)  4 N 2.77-2.91, 1 H 2.81, 2 C 2.84-3.08
K (0.2500, 0.2500, 0.1506) (multiplicity 4)  2 H 2.74-2.76, 4 N 2.89
H (0.2500, 0.2500, 0.4017) (multiplicity 4)  6 K 2.74-2.81
C (0.1029, 0.6029, 0.7500) (multiplicity 8)  2 N 1.24
N (0.0559, 0.6508, 0.8489) (multiplicity 16)  1 C 1.24

8.
Computed, not measured: a relaxed structure of ScReI3 at the GGA-PBEsol level of DFT.

magnetization = 1.9 Bohr magnetons per cell
E_form (uncorrected) = 0.77 eV per atom

Unit cell a=5.3052 b=5.3052 c=5.3052 alpha=90.00 beta=90.00 gamma=90.00
With the nearest neighbours (Å) after each atom.
Space group Pm-3m (No. 221)
One atom of each set of equivalent atoms:
Sc (0.0000, 0.0000, 0.0000) (multiplicity 1)  12 I 3.75
Re (0.5000, 0.5000, 0.5000) (multiplicity 1)  6 I 2.65
I (0.0000, 0.5000, 0.5000) (multiplicity 3)  2 Re 2.65

9.
Computed, not measured: a relaxed structure of NdAl10Ru2 at the GGA-PBEsol level of DFT.

magnetization = 0.0 Bohr magnetons per cell
calculated formation energy = -6.6 eV per formula unit

Unit cell a=9.0631 b=10.2207 c=9.1164 alpha=90.00 beta=90.00 gamma=90.00
With the nearest neighbours (Å) after each atom.
Space group Cmcm (No. 63)
One atom of each set of equivalent atoms:
Nd (0.0000, 0.1247, 0.2500) (multiplicity 4)  14 Al 3.16-3.32, 4 Ru 3.46
Al (0.0000, 0.1601, 0.6010) (multiplicity 8)  2 Ru 2.61, 8 Al 2.62-2.88
Al (0.0000, 0.3773, 0.0510) (multiplicity 8)  6 Al 2.62-2.82, 2 Ru 2.65
Al (0.1496, 0.3698, 0.7500) (multiplicity 8)  7 Al 2.65-2.88, 2 Ru 2.74
Al (0.2252, 0.3642, 0.2500) (multiplicity 8)  2 Ru 2.57, 8 Al 2.65-2.85
Al (0.2266, 0.0000, 0.0000) (multiplicity 8)  2 Ru 2.56, 8 Al 2.70-2.87
Ru (0.2500, 0.2500, 0.0000) (multiplicity 8)  10 Al 2.56-2.74

10.
Computed, not measured: a relaxed structure of K2PBr at the GGA-PBEsol level of DFT.

magnetization = 2.0 Bohr magnetons per cell
E_form (uncorrected) = -0.46 eV per atom

Unit cell a=4.6284 b=4.6284 c=6.6466 alpha=90.00 beta=90.00 gamma=90.00
With the nearest neighbours (Å) after each atom.
Space group P4/mmm (No. 123)
One atom of each set of equivalent atoms:
K (0.0000, 0.0000, 0.0000) (multiplicity 1)  4 Br 3.27, 2 P 3.32
K (0.5000, 0.5000, 0.5000) (multiplicity 1)  4 P 3.27, 2 Br 3.32
P (0.0000, 0.0000, 0.5000) (multiplicity 1)  6 K 3.27-3.32
Br (0.5000, 0.5000, 0.0000) (multiplicity 1)  6 K 3.27-3.32

11.
Computed, not measured: a relaxed structure of HoNi4B at the GGA-PBEsol level of DFT.

magnetization = 0.0 Bohr magnetons per cell
calculated formation energy = -3.2 eV per formula unit

Unit cell a=4.8818 b=4.8818 c=6.8714 alpha=90.00 beta=90.00 gamma=120.00
With the nearest neighbours (Å) after each atom.
Space group P6/mmm (No. 191)
One atom of each set of equivalent atoms:
Ho (0.0000, 0.0000, 0.0000) (multiplicity 1)  6 B 2.82, 12 Ni 2.84
Ho (0.0000, 0.0000, 0.5000) (multiplicity 1)  18 Ni 2.82-3.15
Ni (0.0000, 0.5000, 0.2099) (multiplicity 6)  2 B 2.02
Ni (0.3333, 0.6667, 0.5000) (multiplicity 2)  6 Ni 2.44
B (0.3333, 0.6667, 0.0000) (multiplicity 2)  6 Ni 2.02

12.
Computed, not measured: a relaxed structure of CdAsIr2 at the GGA-PBEsol level of DFT.

magnetization = 0.0 Bohr magnetons per cell
calculated formation energy = 1.0 eV per formula unit

Unit cell a=4.6137 b=2.9218 c=5.0280 alpha=90.00 beta=112.55 gamma=90.00
With the nearest neighbours (Å) after each atom.
Space group P2/m (No. 10)
One atom of each set of equivalent atoms:
Cd (0.0000, 0.0000, 0.0000) (multiplicity 1)  6 Ir 2.68-2.73, 4 As 2.91, 2 Cd 2.92
As (0.0000, 0.5000, 0.5000) (multiplicity 1)  6 Ir 2.68-2.73, 4 Cd 2.91, 2 As 2.92
Ir (0.5000, 0.0000, 0.5000) (multiplicity 1)  2 Cd 2.68, 4 As 2.73, 6 Ir 2.91-2.92
Ir (0.5000, 0.5000, 0.0000) (multiplicity 1)  2 As 2.68, 4 Cd 2.73, 6 Ir 2.91-2.92